(1)
! Ba2LaCo, optimized geometry, DFT PBE; values from VASP
! VASP energy = -51.80 eV for the cell shown
! Distance to the lowest polymorph of the same formula = 617 meV per atom
! V = 33.66 A^3/atom
! Formation energy = 732 meV/atom
! Crystal system = cubic
&SYSTEM
  ibrav = 0, nat = 16, ntyp = 3
/
ATOMIC_SPECIES
Ba 137.33 Ba.upf
La 138.91 La.upf
Co 58.93 Co.upf
CELL_PARAMETERS angstrom
8.136 0.000 0.000
0.000 8.136 0.000
0.000 0.000 8.136
ATOMIC_POSITIONS angstrom
Ba 2.034 2.034 2.034
Ba 2.034 2.034 6.102
Ba 2.034 6.102 2.034
Ba 2.034 6.102 6.102
Ba 6.102 2.034 2.034
Ba 6.102 2.034 6.102
Ba 6.102 6.102 2.034
Ba 6.102 6.102 6.102
La 0.000 0.000 0.000
La 0.000 4.068 4.068
La 4.068 0.000 4.068
La 4.068 4.068 0.000
Co 0.000 0.000 4.068
Co 0.000 4.068 0.000
Co 4.068 0.000 0.000
Co 4.068 4.068 4.068

=====

(2)
! Ba2LaCo, optimized geometry, DFT PBE; values from VASP
! VASP energy = -30.83 eV for the cell shown
! Distance to the lowest polymorph of the same formula = 0 meV per atom
! V = 41.52 A^3/atom
! Formation energy = 116 meV/atom
! Crystal system = monoclinic
&SYSTEM
  ibrav = 0, nat = 8, ntyp = 3
/
ATOMIC_SPECIES
Ba 137.33 Ba.upf
La 138.91 La.upf
Co 58.93 Co.upf
CELL_PARAMETERS angstrom
7.366 0.000 0.000
0.000 4.243 0.000
-2.422 0.000 10.627
ATOMIC_POSITIONS angstrom
Ba 0.000 0.000 0.000
Ba -0.005 0.000 6.702
Ba 3.683 2.121 0.000
Ba 3.678 2.121 6.702
La 1.223 2.121 3.538
La 4.906 0.000 3.538
Co 2.444 0.000 4.694
Co 6.127 2.121 4.694

=====

(3)
! BaLaCo2, optimized geometry, DFT PBE; values from VASP
! VASP energy = -77.09 eV for the cell shown
! Distance to the lowest polymorph of the same formula = 388 meV per atom
! V = 27.87 A^3/atom
! Formation energy = 448 meV/atom
! Crystal system = tetragonal
&SYSTEM
  ibrav = 0, nat = 16, ntyp = 3
/
ATOMIC_SPECIES
Ba 137.33 Ba.upf
La 138.91 La.upf
Co 58.93 Co.upf
CELL_PARAMETERS angstrom
5.098 0.000 0.000
0.000 5.098 0.000
0.000 0.000 17.163
ATOMIC_POSITIONS angstrom
Ba 0.000 1.274 6.436
Ba 0.000 3.823 10.727
Ba 2.549 1.274 2.145
Ba 2.549 3.823 15.017
La 0.000 1.274 15.017
La 0.000 3.823 2.145
La 2.549 1.274 10.727
La 2.549 3.823 6.436
Co 0.000 0.000 0.000
Co 0.000 2.549 0.000
Co 1.274 1.274 12.872
Co 1.274 3.823 4.291
Co 2.549 0.000 8.581
Co 2.549 2.549 8.581
Co 3.823 1.274 12.872
Co 3.823 3.823 4.291

=====

(4)
! BaLaCo2, optimized geometry, DFT PBE; values from VASP
! VASP energy = -41.65 eV for the cell shown
! Distance to the lowest polymorph of the same formula = 0 meV per atom
! V = 28.96 A^3/atom
! Formation energy = 59 meV/atom
! Crystal system = monoclinic
&SYSTEM
  ibrav = 0, nat = 8, ntyp = 3
/
ATOMIC_SPECIES
Ba 137.33 Ba.upf
La 138.91 La.upf
Co 58.93 Co.upf
CELL_PARAMETERS angstrom
7.093 0.000 0.000
0.000 4.094 0.000
-2.341 0.000 7.979
ATOMIC_POSITIONS angstrom
Ba 0.000 0.000 0.000
Ba 3.546 2.047 0.000
La 1.208 2.047 3.935
La 4.754 0.000 3.935
Co -1.156 2.047 5.679
Co 0.026 0.000 5.669
Co 2.391 0.000 5.679
Co 3.572 2.047 5.669

=====

(5)
! BaLa3Co, optimized geometry, DFT PBE; values from VASP
! VASP energy = -47.10 eV for the cell shown
! Distance to the lowest polymorph of the same formula = 21 meV per atom
! V = 41.64 A^3/atom
! Formation energy = 52 meV/atom
! Crystal system = trigonal
&SYSTEM
  ibrav = 0, nat = 10, ntyp = 3
/
ATOMIC_SPECIES
Ba 137.33 Ba.upf
La 138.91 La.upf
Co 58.93 Co.upf
CELL_PARAMETERS angstrom
3.488 2.014 9.880
-3.488 2.014 9.880
0.000 -4.028 9.880
ATOMIC_POSITIONS angstrom
Ba 0.000 0.000 4.966
Ba 0.000 0.000 24.674
La -2.249 -0.024 11.391
La -1.104 -1.960 18.249
La 1.146 -1.936 11.391
La -1.146 1.936 18.249
La 1.104 1.960 11.391
La 2.249 0.024 18.249
Co 0.000 0.000 9.863
Co 0.000 0.000 19.776

=====

(6)
! Ba2LaCo, optimized geometry, DFT PBE; values from VASP
! VASP energy = -15.09 eV for the cell shown
! Distance to the lowest polymorph of the same formula = 81 meV per atom
! V = 37.67 A^3/atom
! Formation energy = 197 meV/atom
! Crystal system = tetragonal
&SYSTEM
  ibrav = 0, nat = 4, ntyp = 3
/
ATOMIC_SPECIES
Ba 137.33 Ba.upf
La 138.91 La.upf
Co 58.93 Co.upf
CELL_PARAMETERS angstrom
3.762 0.000 0.000
0.000 3.762 0.000
0.000 0.000 10.648
ATOMIC_POSITIONS angstrom
Ba 0.000 0.000 0.000
Ba 1.881 1.881 3.854
La 1.881 1.881 7.281
Co 0.000 0.000 6.076